(1)
Entry from Alexandria: a relaxed MgCoSb2 crystal (PBE).

Output
The value obtained for the raw formation energy is 0.950 eV/f.u. Its crystal system is tetragonal.

Cell: 5.671 5.671 5.671 Å, 137.88 137.88 61.08°
Fractional positions:
1 Mg 0.750 0.250 0.500
2 Sb 0.250 0.750 0.500
3 Sb 0.000 0.000 0.000
4 Co 0.500 0.500 0.000

***

(2)
Entry from Alexandria: a relaxed MgCo2Sb2 crystal (PBE).

Output
The value obtained for the raw formation energy is 1.108 eV/f.u. Its crystal system is tetragonal.

Cell: 4.539 4.539 5.700 Å, 66.54 66.54 90.00°
Fractional positions:
1 Co 0.619 0.619 0.762
2 Co 0.381 0.381 0.238
3 Sb 0.750 0.250 0.500
4 Sb 0.250 0.750 0.500
5 Mg 0.000 0.000 0.000

***

(3)
Entry from Alexandria: a relaxed MgCo2Sb2 crystal (PBE).

Output
The value obtained for the raw formation energy is 0.869 eV/f.u. Its crystal system is tetragonal.

Cell: 7.558 7.558 3.089 Å, 90.00 90.00 90.00°
Fractional positions:
1 Sb 0.347 0.847 0.000
2 Sb 0.153 0.347 0.000
3 Sb 0.847 0.653 0.000
4 Sb 0.653 0.153 0.000
5 Mg 0.500 0.500 0.000
6 Mg 0.000 0.000 0.000
7 Co 0.133 0.633 0.500
8 Co 0.867 0.367 0.500
9 Co 0.633 0.867 0.500
10 Co 0.367 0.133 0.500

***

(4)
Entry from Alexandria: a relaxed MgCoSb2 crystal (PBE).

Output
The value obtained for the raw formation energy is 0.726 eV/f.u. Its crystal system is tetragonal.

Cell: 6.592 6.592 6.867 Å, 61.31 61.31 90.00°
Fractional positions:
1 Sb 0.686 0.125 0.250
2 Sb 0.875 0.936 0.750
3 Sb 0.375 0.314 0.750
4 Sb 0.064 0.625 0.250
5 Mg 0.500 0.500 0.000
6 Mg 0.250 0.750 0.500
7 Co 0.000 0.000 0.000
8 Co 0.750 0.250 0.500

***

(5)
Entry from Alexandria: a relaxed Mg2Co2Sb crystal (PBE).

Output
The value obtained for the raw formation energy is -0.204 eV/f.u. Its crystal system is tetragonal.

Cell: 6.355 6.355 4.207 Å, 90.00 90.00 90.00°
Fractional positions:
1 Mg 0.663 0.837 0.500
2 Mg 0.337 0.163 0.500
3 Mg 0.163 0.663 0.500
4 Mg 0.837 0.337 0.500
5 Co 0.871 0.629 0.000
6 Co 0.129 0.371 0.000
7 Co 0.371 0.871 0.000
8 Co 0.629 0.129 0.000
9 Sb 0.500 0.500 0.000
10 Sb 0.000 0.000 0.000

***

(6)
Entry from Alexandria: a relaxed Mg2CoSb crystal (PBE).

Output
The value obtained for the raw formation energy is 0.371 eV/f.u. Its crystal system is cubic.

Cell: 4.633 4.633 4.633 Å, 60.00 60.00 60.00°
Fractional positions:
1 Mg 0.750 0.750 0.750
2 Mg 0.000 0.000 0.000
3 Co 0.500 0.500 0.500
4 Sb 0.250 0.250 0.250